This record from the Alexandria database describes a relaxed structure of LaTaCo2F. The functional is PBE+U.

POSCAR file:
```
LaTaCo2F
1.0
4.451 0.000 0.000
0.000 4.451 0.000
0.000 0.000 6.037
La Ta Co F
1 1 2 1
Direct
0.000 0.000 0.000
0.000 0.000 0.500
0.000 0.500 0.500
0.500 0.000 0.500
0.500 0.500 0.000
```

Values from the calculation:
The total energy is -5.217 eV per atom. The symmetry is P4/mmm (123). The magnetization comes out at 2.8 μB per formula unit.